Entry 1:
The following is a PBEsol calculation of a relaxed AlBiPt3 crystal, from the Alexandria database.

Lattice parameters (Å, degrees): 4.5978 4.5978 4.5978 90.00 90.00 90.00
Last column: nearest neighbours and their distance in Å.
Positions (direct):
1 Bi 0.5000 0.5000 0.5000  12 Pt 3.25
2 Pt 0.0000 0.5000 0.0000  2 Al 2.30
3 Pt 0.0000 0.0000 0.5000  2 Al 2.30
4 Pt 0.5000 0.0000 0.0000  2 Al 2.30
5 Al 0.0000 0.0000 0.0000  6 Pt 2.30

E_form = 0.1565 eV per atom
space group = Pm-3m
calculated density = 14030 kg/m³
calculated volume = 19.44 Å³/atom

Entry 2:
The following is a PBEsol calculation of a relaxed Al2BiPt2 crystal, from the Alexandria database.

Lattice parameters (Å, degrees): 2.9091 7.6922 7.6922 90.00 90.00 90.00
Last column: nearest neighbours and their distance in Å.
Positions (direct):
1 Bi 0.0000 0.0000 0.0000  2 Bi 2.91, 4 Pt 2.96
2 Bi 0.0000 0.5000 0.5000  2 Bi 2.91, 4 Pt 2.96
3 Pt 0.0000 0.3584 0.8584  6 Al 2.66-2.72, 2 Pt 2.91, 2 Bi 2.96
4 Pt 0.0000 0.8584 0.6416  6 Al 2.66-2.72, 2 Pt 2.91, 2 Bi 2.96
5 Pt 0.0000 0.6416 0.1416  6 Al 2.66-2.72, 2 Pt 2.91, 2 Bi 2.96
6 Pt 0.0000 0.1416 0.3584  6 Al 2.66-2.72, 2 Pt 2.91, 2 Bi 2.96
7 Al 0.5000 0.1473 0.6473  6 Pt 2.66-2.72, 2 Al 2.91
8 Al 0.5000 0.6473 0.8527  6 Pt 2.66-2.72, 2 Al 2.91
9 Al 0.5000 0.8527 0.3527  6 Pt 2.66-2.72, 2 Al 2.91
10 Al 0.5000 0.3527 0.1473  6 Pt 2.66-2.72, 2 Al 2.91

E_form = -0.6027 eV per atom
space group = P4/mbm
calculated density = 12601 kg/m³
calculated volume = 17.21 Å³/atom

Entry 3:
The following is a PBEsol calculation of a relaxed AlBiPt2 crystal, from the Alexandria database.

Lattice parameters (Å, degrees): 4.6595 4.6595 4.6595 60.00 60.00 60.00
Last column: nearest neighbours and their distance in Å.
Positions (direct):
1 Bi 0.5000 0.5000 0.5000  8 Pt 2.85
2 Pt 0.2500 0.2500 0.2500  4 Bi 2.85, 4 Al 2.85
3 Pt 0.7500 0.7500 0.7500  4 Bi 2.85, 4 Al 2.85
4 Al 0.0000 0.0000 0.0000  8 Pt 2.85

E_form = -0.1892 eV per atom
space group = Fm-3m
calculated density = 14535 kg/m³
calculated volume = 17.88 Å³/atom

Entry 4:
The following is a PBEsol calculation of a relaxed RbAl2BiW crystal, from the Alexandria database.

Lattice parameters (Å, degrees): 5.0018 5.0018 5.4607 90.00 90.00 90.00
Last column: nearest neighbours and their distance in Å.
Positions (direct):
1 Rb 0.0000 0.0000 0.5000  2 W 2.73
2 Bi 0.5000 0.5000 0.5000  4 Rb 3.54, 8 Al 3.70
3 W 0.0000 0.0000 0.0000  4 Al 2.50, 2 Rb 2.73
4 Al 0.0000 0.5000 0.0000  2 W 2.50
5 Al 0.5000 0.0000 0.0000  2 W 2.50

E_form = 1.2384 eV per atom
space group = P4/mmm
calculated density = 6469 kg/m³
calculated volume = 27.32 Å³/atom